1.
First-principles (PBE) data for crystalline RbZnInCo2 at its relaxed geometry, as listed in Alexandria via LeMat-Bulk.

Cell lengths 4.8930, 4.8930, 6.1748 Å; angles 90.00, 90.00, 90.00 degrees
Sites, in units of the cell vectors:
Rb1 0.0000 0.0000 0.0000
Zn1 0.5000 0.5000 0.5000
In1 0.0000 0.0000 0.5000
Co1 0.0000 0.5000 0.0000
Co2 0.5000 0.0000 0.0000

Density of states at the Fermi level = 1.268 states/eV/atom
Energy of formation = 2104 meV per atom
Crystal system = tetragonal
Raw total energy = -1.73 eV/atom
SG = P4/mmm

---

2.
First-principles (PBE) data for crystalline GdCu4Au at its relaxed geometry, as listed in Alexandria via LeMat-Bulk.

Cell lengths 5.0735, 5.0735, 5.0735 Å; angles 60.00, 60.00, 60.00 degrees
Sites, in units of the cell vectors:
Gd1 0.0000 0.0000 0.0000
Cu1 0.1278 0.6241 0.6241
Cu2 0.6241 0.1278 0.6241
Cu3 0.6241 0.6241 0.1278
Cu4 0.6241 0.6241 0.6241
Au1 0.2500 0.2500 0.2500

Density of states at the Fermi level = 0.842 states/eV/atom
Energy of formation = -312 meV per atom
Crystal system = cubic
Raw total energy = -5.94 eV/atom
SG = F-43m

---

3.
First-principles (PBE) data for crystalline RbUSeS at its relaxed geometry, as listed in Alexandria via LeMat-Bulk.

Cell lengths 8.4001, 8.4001, 8.4001 Å; angles 28.42, 28.42, 28.42 degrees
Sites, in units of the cell vectors:
Rb1 0.0000 0.0000 0.0000
U1 0.1754 0.1754 0.1754
Se1 0.7721 0.7721 0.7721
S1 0.5697 0.5697 0.5697

Formation energy without anion corrections = -1.26 eV/atom
Density of states at the Fermi level = 1.055 states/eV/atom
Crystal system = trigonal
Raw total energy = -6.23 eV/atom
SG = R3m

---

4.
First-principles (PBE) data for crystalline CsPdS2O8 at its relaxed geometry, as listed in Alexandria via LeMat-Bulk.

Cell lengths 5.0597, 5.0597, 8.8131 Å; angles 93.26, 93.26, 62.28 degrees
Sites, in units of the cell vectors:
Cs1 0.0000 0.0000 0.0000
Pd1 0.0000 0.0000 0.5000
S1 0.3778 0.3778 0.6795
S2 0.6222 0.6222 0.3205
O1 0.2481 0.7173 0.6720
O2 0.2621 0.2621 0.5510
O3 0.2827 0.7519 0.3280
O4 0.3207 0.3207 0.8322
O5 0.6793 0.6793 0.1678
O6 0.7173 0.2481 0.6720
O7 0.7379 0.7379 0.4490
O8 0.7519 0.2827 0.3280

Formation energy without anion corrections = -1.24 eV/atom
Density of states at the Fermi level = 0.032 states/eV/atom
Crystal system = monoclinic
Raw total energy = -5.74 eV/atom
SG = C2/m

---

5.
First-principles (PBE) data for crystalline PmDyTl2 at its relaxed geometry, as listed in Alexandria via LeMat-Bulk.

Cell lengths 3.8377, 3.8377, 7.6533 Å; angles 90.00, 90.00, 90.00 degrees
Sites, in units of the cell vectors:
Pm1 0.0000 0.0000 0.0000
Dy1 0.0000 0.0000 0.5000
Tl1 0.5000 0.5000 0.2591
Tl2 0.5000 0.5000 0.7409

Density of states at the Fermi level = 0.755 states/eV/atom
Energy of formation = -370 meV per atom
Crystal system = tetragonal
Raw total energy = -3.89 eV/atom
SG = P4/mmm

---

6.
First-principles (PBE) data for crystalline Rb3Tl3As2 at its relaxed geometry, as listed in Alexandria via LeMat-Bulk.

Cell lengths 9.6674, 17.6693, 7.1684 Å; angles 90.00, 90.00, 90.00 degrees
Sites, in units of the cell vectors:
Rb1 0.0485 0.1074 0.0557
Rb2 0.0485 0.3926 0.0557
Rb3 0.2098 0.2500 0.6387
Rb4 0.2902 0.7500 0.1387
Rb5 0.4515 0.6074 0.5557
Rb6 0.4515 0.8926 0.5557
Rb7 0.5485 0.1074 0.4443
Rb8 0.5485 0.3926 0.4443
Rb9 0.7098 0.2500 0.8613
Rb10 0.7902 0.7500 0.3613
Rb11 0.9515 0.6074 0.9443
Rb12 0.9515 0.8926 0.9443
Tl1 0.1272 0.7500 0.6522
Tl2 0.1750 0.0362 0.5167
Tl3 0.1750 0.4638 0.5167
Tl4 0.3250 0.5362 0.0167
Tl5 0.3250 0.9638 0.0167
Tl6 0.3728 0.2500 0.1522
Tl7 0.6272 0.7500 0.8478
Tl8 0.6750 0.0362 0.9833
Tl9 0.6750 0.4638 0.9833
Tl10 0.8250 0.5362 0.4833
Tl11 0.8250 0.9638 0.4833
Tl12 0.8728 0.2500 0.3478
As1 0.0816 0.6188 0.4250
As2 0.0816 0.8812 0.4250
As3 0.4184 0.1188 0.9250
As4 0.4184 0.3812 0.9250
As5 0.5816 0.6188 0.0750
As6 0.5816 0.8812 0.0750
As7 0.9184 0.1188 0.5750
As8 0.9184 0.3812 0.5750

Density of states at the Fermi level = 0.240 states/eV/atom
Energy of formation = -211 meV per atom
Crystal system = orthorhombic
Raw total energy = -2.62 eV/atom
SG = Pnma

---

7.
First-principles (PBE) data for crystalline Li2CoPt at its relaxed geometry, as listed in Alexandria via LeMat-Bulk.

Cell lengths 4.1774, 4.1774, 4.1774 Å; angles 120.14, 120.14, 89.75 degrees
Sites, in units of the cell vectors:
Li1 0.0000 0.0000 0.0000
Li2 0.7500 0.2500 0.5000
Co1 0.5000 0.5000 0.0000
Pt1 0.2500 0.7500 0.5000

Polymorph energy (0 for the lowest one) = 0.09 eV per formula unit
Density of states at the Fermi level = 0.760 states/eV/atom
Energy of formation = -222 meV per atom
Crystal system = tetragonal
Raw total energy = -4.47 eV/atom
SG = I-4m2

---

8.
First-principles (PBE) data for crystalline CrAu2Cl at its relaxed geometry, as listed in Alexandria via LeMat-Bulk.

Cell lengths 6.5818, 6.5818, 4.2581 Å; angles 108.78, 108.78, 26.50 degrees
Sites, in units of the cell vectors:
Cr1 0.0000 0.0000 0.0000
Au1 0.2956 0.2956 0.7954
Au2 0.7044 0.7044 0.2046
Cl1 0.5000 0.5000 0.5000

Formation energy without anion corrections = 0.06 eV/atom
Polymorph energy (0 for the lowest one) = 0.48 eV per formula unit
Density of states at the Fermi level = 0.447 states/eV/atom
Crystal system = monoclinic
Raw total energy = -4.45 eV/atom
SG = C2/m

---

9.
First-principles (PBE) data for crystalline MoPbSe2Br at its relaxed geometry, as listed in Alexandria via LeMat-Bulk.

Cell lengths 4.9403, 4.9403, 5.3554 Å; angles 90.00, 90.00, 90.00 degrees
Sites, in units of the cell vectors:
Mo1 0.0000 0.0000 0.0000
Pb1 0.5000 0.5000 0.5000
Se1 0.0000 0.5000 0.0000
Se2 0.5000 0.0000 0.0000
Br1 0.0000 0.0000 0.5000

Formation energy without anion corrections = -0.01 eV/atom
Polymorph energy (0 for the lowest one) = 0.00 eV per formula unit
Density of states at the Fermi level = 0.778 states/eV/atom
Crystal system = tetragonal
Raw total energy = -4.65 eV/atom
SG = P4/mmm

---

10.
First-principles (PBE) data for crystalline NaZn2Cd4 at its relaxed geometry, as listed in Alexandria via LeMat-Bulk.

Cell lengths 5.8319, 5.8319, 5.3725 Å; angles 114.49, 114.49, 82.73 degrees
Sites, in units of the cell vectors:
Na1 0.0000 0.0000 0.0000
Zn1 0.4897 0.4897 0.2443
Zn2 0.5103 0.5103 0.7557
Cd1 0.0067 0.3927 0.7031
Cd2 0.3927 0.0067 0.7031
Cd3 0.6073 0.9933 0.2969
Cd4 0.9933 0.6073 0.2969

Density of states at the Fermi level = 0.252 states/eV/atom
Energy of formation = -17 meV per atom
Crystal system = monoclinic
Raw total energy = -1.09 eV/atom
SG = C2/m

---

11.
First-principles (PBE) data for crystalline Tm4CdC2 at its relaxed geometry, as listed in Alexandria via LeMat-Bulk.

Cell lengths 14.3415, 14.3415, 14.3415 Å; angles 14.11, 14.11, 14.11 degrees
Sites, in units of the cell vectors:
Tm1 0.1257 0.1257 0.1257
Tm2 0.2701 0.2701 0.2701
Tm3 0.7299 0.7299 0.7299
Tm4 0.8743 0.8743 0.8743
Cd1 0.0000 0.0000 0.0000
C1 0.4285 0.4285 0.4285
C2 0.5715 0.5715 0.5715

Density of states at the Fermi level = 0.877 states/eV/atom
Energy of formation = -335 meV per atom
Crystal system = trigonal
Raw total energy = -5.66 eV/atom
SG = R-3m